# Ti2CrAsO

Ti2CrAsO after structural relaxation (GGA+U, Alexandria via LeMat-Bulk).

Geometry as POSCAR:
```
Ti2CrAsO
1.0
4.538 0.000 0.000
0.000 4.538 0.000
0.000 0.000 4.333
Ti Cr As O
2 1 1 1
Direct
0.000 0.500 0.000
0.500 0.000 0.000
0.000 0.000 0.000
0.000 0.000 0.500
0.500 0.500 0.500
```

The calculation puts the magnetization at 0.0005 μB/atom. As for the total energy: -5.60 eV/atom. As for the theoretical density: 4.44 g/cm3.